Compound: Zr4Co2Hg
Source: Alexandria via LeMat-Bulk
Functional: PBE
Structure: relaxed

Calculated values
The total magnetization is 0.000 μB/f.u. As for the total DFT energy (no corrections): -49.29 eV per formula unit. The calculated formation energy comes out at -0.08 eV/atom.

POSCAR file:
```
Zr4Co2Hg
1.0
1.966 1.135 10.928
-1.966 1.135 10.928
0.000 -2.270 10.928
Zr Co Hg
4 2 1
Cartesian
0.000 0.000 3.394
0.000 0.000 9.843
0.000 0.000 22.943
0.000 0.000 29.391
0.000 0.000 13.145
0.000 0.000 19.640
0.000 0.000 16.393
```

Compound: Zr5CoHg
Source: Alexandria via LeMat-Bulk
Functional: PBE
Structure: relaxed

Calculated values
The total magnetization is 0.000 μB/f.u. As for the total DFT energy (no corrections): -50.23 eV per formula unit. The calculated formation energy comes out at -0.01 eV/atom.

POSCAR file:
```
Zr5CoHg
1.0
3.935 -3.691 0.000
3.935 3.691 0.000
-2.796 0.000 10.158
Zr Co Hg
10 2 2
Cartesian
1.838 3.572 7.618
0.268 1.310 6.345
0.261 1.107 9.553
1.666 -1.310 1.266
3.415 1.107 5.684
1.659 -1.107 4.474
3.408 1.310 8.892
4.813 -1.107 0.605
4.806 -1.310 3.813
3.236 -3.572 2.539
0.000 0.000 0.000
-1.398 0.000 5.079
3.236 0.845 2.539
1.838 -0.845 7.618
```

Compound: ZrCoHg4
Source: Alexandria via LeMat-Bulk
Functional: PBE
Structure: relaxed

Calculated values
The total magnetization is 1.448 μB/f.u. As for the total DFT energy (no corrections): -13.61 eV per formula unit. The calculated formation energy comes out at 0.54 eV/atom.

POSCAR file:
```
ZrCoHg4
1.0
0.000 4.003 4.003
4.003 0.000 4.003
4.003 4.003 0.000
Zr Co Hg
1 1 4
Cartesian
0.000 0.000 0.000
6.004 6.004 6.004
3.003 3.003 3.003
5.002 5.002 3.003
5.002 3.003 5.002
3.003 5.002 5.002
```

Compound: Zr6CoHg2
Source: Alexandria via LeMat-Bulk
Functional: PBE
Structure: relaxed

Calculated values
The total magnetization is 0.000 μB/f.u. As for the total DFT energy (no corrections): -60.69 eV per formula unit. The calculated formation energy comes out at -0.19 eV/atom.

POSCAR file:
```
Zr6CoHg2
1.0
8.147 0.000 0.000
-4.073 7.055 0.000
0.000 0.000 3.327
Zr Co Hg
6 1 2
Cartesian
-0.982 1.701 0.000
-2.493 4.318 1.663
1.964 0.000 0.000
1.580 2.737 1.663
4.986 0.000 1.663
3.091 5.354 0.000
0.000 0.000 1.663
0.000 4.703 0.000
4.073 2.352 0.000
```

Compound: Ho13Co2
Source: Alexandria via LeMat-Bulk
Functional: PBE
Structure: relaxed

Calculated values
The total magnetization is 0.003 μB/f.u. As for the total DFT energy (no corrections): -74.17 eV per formula unit. The calculated formation energy comes out at -0.03 eV/atom.

POSCAR file:
```
Ho13Co2
1.0
6.263 0.000 0.000
1.036 7.978 0.000
0.112 4.041 8.690
Ho Co
13 2
Cartesian
0.000 0.000 0.000
0.959 5.448 2.715
1.181 3.018 5.330
2.158 8.676 8.090
2.130 2.188 1.978
3.295 7.644 4.804
3.173 5.277 7.399
4.238 6.742 1.291
4.116 4.375 3.886
5.280 9.831 6.712
5.253 3.343 0.600
6.230 9.001 3.360
6.451 6.571 5.975
2.124 7.789 2.460
5.287 4.230 6.230
```

Compound: HoCo2
Source: Alexandria via LeMat-Bulk
Functional: PBE
Structure: relaxed

Calculated values
The total magnetization is 1.879 μB/f.u. As for the total DFT energy (no corrections): -19.47 eV per formula unit. The calculated formation energy comes out at -0.23 eV/atom.

POSCAR file:
```
HoCo2
1.0
0.000 3.572 3.572
3.572 0.000 3.572
3.572 3.572 0.000
Ho Co
2 4
Cartesian
0.893 0.893 0.893
6.252 6.252 6.252
3.572 1.786 1.786
1.786 3.572 1.786
1.786 1.786 3.572
3.572 3.572 3.572
```

Compound: Ho3Co2
Source: Alexandria via LeMat-Bulk
Functional: PBE
Structure: relaxed

Calculated values
The total magnetization is 0.127 μB/f.u. As for the total DFT energy (no corrections): -28.76 eV per formula unit. The calculated formation energy comes out at -0.16 eV/atom.

POSCAR file:
```
Ho3Co2
1.0
1.946 -7.246 0.000
1.946 7.246 0.000
0.000 0.000 3.886
Ho Co
3 2
Cartesian
0.000 0.000 0.000
1.946 2.189 1.943
1.946 -2.189 1.943
1.946 4.329 0.000
1.946 -4.329 0.000
```

Compound: HoCo5
Source: Alexandria via LeMat-Bulk
Functional: PBE
Structure: relaxed

Calculated values
The total magnetization is 7.118 μB/f.u. As for the total DFT energy (no corrections): -40.82 eV per formula unit. The calculated formation energy comes out at -0.12 eV/atom.

POSCAR file:
```
HoCo5
1.0
4.907 0.000 0.000
-2.453 4.249 0.000
0.000 0.000 3.942
Ho Co
1 5
Cartesian
0.000 0.000 0.000
-1.227 2.125 1.971
0.000 2.833 0.000
2.453 0.000 1.971
1.227 2.125 1.971
2.453 1.416 0.000
```

Compound: Ho3Co2
Source: Alexandria via LeMat-Bulk
Functional: PBE
Structure: relaxed

Calculated values
The total magnetization is 0.000 μB/f.u. As for the total DFT energy (no corrections): -28.80 eV per formula unit. The calculated formation energy comes out at -0.17 eV/atom.

POSCAR file:
```
Ho3Co2
1.0
-1.944 3.018 4.599
1.944 -3.018 4.599
1.944 3.018 -4.599
Ho Co
3 2
Cartesian
0.000 0.000 0.000
1.944 0.000 2.817
0.000 3.018 1.782
1.944 1.877 0.000
0.000 1.141 4.599
```

Compound: HoCo6
Source: Alexandria via LeMat-Bulk
Functional: PBE
Structure: relaxed

Calculated values
The total magnetization is 0.001 μB/f.u. As for the total DFT energy (no corrections): -43.58 eV per formula unit. The calculated formation energy comes out at 0.52 eV/atom.

POSCAR file:
```
HoCo6
1.0
-3.007 3.007 3.007
3.007 -3.007 3.007
3.007 3.007 -3.007
Ho Co
1 6
Cartesian
0.000 0.000 0.000
3.007 1.504 0.000
3.007 0.000 1.504
1.504 3.007 0.000
1.504 0.000 3.007
0.000 3.007 1.504
0.000 1.504 3.007
```

Compound: Ho4Co3
Source: Alexandria via LeMat-Bulk
Functional: PBE
Structure: relaxed

Calculated values
The total magnetization is 0.026 μB/f.u. As for the total DFT energy (no corrections): -40.97 eV per formula unit. The calculated formation energy comes out at -0.19 eV/atom.

POSCAR file:
```
Ho4Co3
1.0
11.211 0.000 0.000
-5.605 9.709 0.000
0.000 0.000 4.005
Ho Co
12 9
Cartesian
-4.081 7.556 1.000
-1.369 4.998 0.997
1.103 2.397 1.000
2.627 0.243 3.005
-0.593 8.396 0.997
1.962 6.024 0.997
3.643 3.685 3.008
6.198 1.313 3.008
2.979 9.465 1.000
4.503 7.312 3.005
6.975 4.711 3.008
9.687 2.153 3.005
0.000 0.000 0.000
-2.274 6.980 3.010
0.697 4.249 3.010
0.000 6.473 2.996
4.029 1.521 0.995
1.577 8.188 3.010
5.605 3.236 1.009
4.908 5.459 0.995
7.879 2.728 0.995
```

Compound: HoCo2
Source: Alexandria via LeMat-Bulk
Functional: PBE
Structure: relaxed

Calculated values
The total magnetization is 2.793 μB/f.u. As for the total DFT energy (no corrections): -18.59 eV per formula unit. The calculated formation energy comes out at 0.07 eV/atom.

POSCAR file:
```
HoCo2
1.0
-1.587 1.587 4.850
1.587 -1.587 4.850
1.587 1.587 -4.850
Ho Co
1 2
Cartesian
0.000 0.000 0.000
0.000 0.000 2.886
0.000 0.000 6.815
```

Compound: Ho7Co3
Source: Alexandria via LeMat-Bulk
Functional: PBE
Structure: relaxed

Calculated values
The total magnetization is 0.000 μB/f.u. As for the total DFT energy (no corrections): -55.13 eV per formula unit. The calculated formation energy comes out at -0.18 eV/atom.

POSCAR file:
```
Ho7Co3
1.0
9.523 0.000 0.000
-4.761 8.247 0.000
0.000 0.000 6.084
Ho Co
14 6
Cartesian
-1.789 4.465 0.000
0.000 2.042 4.135
-2.993 7.226 4.135
1.768 1.021 1.093
0.000 5.498 2.874
1.789 4.465 0.000
0.000 7.564 0.000
4.761 0.683 3.042
2.972 3.782 3.042
4.761 2.749 5.916
2.993 7.226 4.135
7.755 1.021 1.093
4.761 6.205 1.093
6.550 3.782 3.042
0.000 3.130 1.598
-2.051 6.682 1.598
2.710 1.565 4.639
2.051 6.682 1.598
6.812 1.565 4.639
4.761 5.117 4.639
```

Compound: Ho3Co2
Source: Alexandria via LeMat-Bulk
Functional: PBE
Structure: relaxed

Calculated values
The total magnetization is 0.000 μB/f.u. As for the total DFT energy (no corrections): -28.57 eV per formula unit. The calculated formation energy comes out at -0.12 eV/atom.

POSCAR file:
```
Ho3Co2
1.0
3.298 1.904 6.050
-3.298 1.904 6.050
0.000 -3.808 6.050
Ho Co
6 4
Cartesian
-2.125 0.127 7.563
-1.173 -1.777 10.588
0.952 -1.904 7.563
-0.952 1.904 10.588
1.173 1.777 7.563
2.125 -0.127 10.588
0.000 0.000 3.247
0.000 0.000 5.829
0.000 0.000 12.323
0.000 0.000 14.904
```

Compound: HoCo6
Source: Alexandria via LeMat-Bulk
Functional: PBE
Structure: relaxed

Calculated values
The total magnetization is 8.806 μB/f.u. As for the total DFT energy (no corrections): -47.77 eV per formula unit. The calculated formation energy comes out at -0.08 eV/atom.

POSCAR file:
```
HoCo6
1.0
7.801 0.000 0.000
0.000 4.804 0.000
0.000 0.000 9.791
Ho Co
4 24
Cartesian
1.867 1.201 0.581
2.034 3.603 5.477
5.767 1.201 4.314
5.935 3.603 9.210
0.513 3.603 0.890
0.542 0.051 3.017
0.542 2.351 3.017
0.709 1.201 5.118
1.092 3.603 8.354
1.433 1.201 7.402
2.468 3.603 2.507
2.809 1.201 3.458
3.192 3.603 0.223
3.358 2.453 7.912
3.358 4.753 7.912
3.388 1.201 5.786
4.414 3.603 4.005
4.443 0.051 1.879
4.443 2.351 1.879
4.610 1.201 9.568
4.993 3.603 6.333
5.333 1.201 7.284
6.369 3.603 2.389
6.709 1.201 1.437
7.092 3.603 4.673
7.259 2.453 6.774
7.259 4.753 6.774
7.288 1.201 8.901
```

Compound: Ho2CoI
Source: Alexandria via LeMat-Bulk
Functional: PBE
Structure: relaxed

Calculated values
The total magnetization is 0.000 μB/f.u. For the energy relative to the elements, uncorrected, the calculation gives -1.72 eV per formula unit. As for the total DFT energy (no corrections): -19.54 eV per formula unit.

POSCAR file:
```
Ho2CoI
1.0
2.004 1.157 8.760
-2.004 1.157 8.760
0.000 -2.314 8.760
Ho Co I
2 1 1
Cartesian
0.000 0.000 3.020
0.000 0.000 23.259
0.000 0.000 13.139
0.000 0.000 0.000
```

Compound: Ho4Co2I5
Source: Alexandria via LeMat-Bulk
Functional: PBE
Structure: relaxed

Calculated values
The total magnetization is 0.000 μB/f.u. For the energy relative to the elements, uncorrected, the calculation gives -8.05 eV per formula unit. As for the total DFT energy (no corrections): -48.33 eV per formula unit.

POSCAR file:
```
Ho4Co2I5
1.0
11.271 -2.024 0.000
11.271 2.024 0.000
-0.739 0.000 8.413
Ho Co I
4 2 5
Cartesian
0.449 0.000 1.665
7.078 0.000 7.803
14.725 0.000 0.609
21.354 0.000 6.748
9.443 0.000 8.412
12.361 0.000 0.001
3.367 0.000 2.932
3.765 0.000 6.970
10.902 0.000 4.206
18.038 0.000 1.443
18.437 0.000 5.480
```

Compound: Ho2Co2I
Source: Alexandria via LeMat-Bulk
Functional: PBE
Structure: relaxed

Calculated values
The total magnetization is 0.000 μB/f.u. For the energy relative to the elements, uncorrected, the calculation gives -2.98 eV per formula unit. As for the total DFT energy (no corrections): -27.90 eV per formula unit.

POSCAR file:
```
Ho2Co2I
1.0
3.942 0.000 0.000
-1.971 3.414 0.000
0.000 0.000 16.873
Ho Co I
4 4 2
Cartesian
0.000 0.000 1.731
0.000 0.000 6.706
0.000 0.000 10.167
0.000 0.000 15.142
0.000 2.276 0.030
0.000 2.276 8.406
1.971 1.138 8.467
1.971 1.138 16.842
0.000 2.276 12.654
1.971 1.138 4.218
```

Compound: Ho3CoI3
Source: Alexandria via LeMat-Bulk
Functional: PBE
Structure: relaxed

Calculated values
The total magnetization is 0.000 μB/f.u. For the energy relative to the elements, uncorrected, the calculation gives -6.44 eV per formula unit. As for the total DFT energy (no corrections): -31.93 eV per formula unit.

POSCAR file:
```
Ho3CoI3
1.0
8.843 0.000 0.000
0.000 4.108 0.000
-0.777 0.000 12.221
Ho Co I
6 2 6
Cartesian
0.601 1.027 3.779
0.487 1.027 10.709
2.144 3.081 1.211
5.922 1.027 11.010
7.579 3.081 1.512
7.465 3.081 8.442
0.383 1.027 1.096
7.683 3.081 11.125
0.800 1.027 7.454
2.837 3.081 4.395
3.058 3.081 10.599
5.008 1.027 1.622
5.229 1.027 7.826
7.266 3.081 4.767
```

Compound: Ho4Co2I5
Source: Alexandria via LeMat-Bulk
Functional: PBE
Structure: relaxed

Calculated values
The total magnetization is 0.624 μB/f.u. For the energy relative to the elements, uncorrected, the calculation gives -7.33 eV per formula unit. As for the total DFT energy (no corrections): -47.60 eV per formula unit.

POSCAR file:
```
Ho4Co2I5
1.0
-1.988 4.316 12.841
1.988 -4.316 12.841
1.988 4.316 -12.841
Ho Co I
4 2 5
Cartesian
0.000 0.000 3.463
1.988 1.676 0.000
0.000 2.641 12.841
0.000 0.000 22.220
0.000 0.000 1.056
0.000 0.000 24.626
1.988 2.164 -4.203
1.988 2.164 4.203
0.000 4.316 0.000
0.000 2.152 8.638
0.000 2.152 17.044
```